(1)
A geometry-optimized SrI3Br structure, computed with PBE-GGA.

a b c (Å): 6.444 6.444 6.444
angles (deg): 90.00 90.00 90.00
Site moments in Bohr magnetons follow the coordinates.
Sites, in units of the cell vectors:
I 0.000 0.000 0.500  0.25
I 0.000 0.500 0.000  0.23
Br 0.500 0.500 0.500  0.58
Sr 0.000 0.000 0.000  -0.01
I 0.500 0.000 0.000  0.27

Properties
energy relative to the elements, uncorrected: -0.575 eV/atom
offset from the most stable computed form: 0.00 eV per formula unit



(2)
A geometry-optimized Pm6CdSn2 structure, computed with PBE-GGA.

a b c (Å): 4.409 8.580 8.579
angles (deg): 120.00 90.00 90.00
Site moments in Bohr magnetons follow the coordinates.
Sites, in units of the cell vectors:
Sn 0.000 0.667 0.333  -0.01
Pm 0.000 0.733 0.733  0.18
Pm 0.500 0.000 0.594  0.20
Sn 0.000 0.333 0.667  -0.01
Pm 0.000 0.000 0.267  0.18
Pm 0.000 0.267 0.000  0.18
Pm 0.500 0.594 0.000  0.20
Cd 0.500 0.000 0.000  0.01
Pm 0.500 0.406 0.406  0.20

Properties
formation enthalpy at 0 K: -0.42 eV/atom



(3)
A geometry-optimized Zr2TaMo structure, computed with PBE-GGA.

a b c (Å): 7.551 7.551 6.069
angles (deg): 51.53 51.53 90.00
Sites, in units of the cell vectors:
Zr 0.140 0.625 0.250
Ta 0.750 0.250 0.500
Ta 0.000 0.000 0.000
Zr 0.375 0.390 0.750
Zr 0.875 0.860 0.750
Mo 0.500 0.500 0.000
Zr 0.610 0.125 0.250
Mo 0.250 0.750 0.500

Properties
offset from the most stable computed form: 2.62 eV per formula unit
formation enthalpy at 0 K: 0.64 eV/atom



(4)
A geometry-optimized BaPW3 structure, computed with PBE-GGA.

a b c (Å): 4.704 4.704 4.704
angles (deg): 90.00 90.00 90.00
Sites, in units of the cell vectors:
P 0.000 0.000 0.000
W 0.500 0.000 0.000
Ba 0.500 0.500 0.500
W 0.000 0.000 0.500
W 0.000 0.500 0.000

Properties
offset from the most stable computed form: 0.00 eV per formula unit
formation enthalpy at 0 K: 1.20 eV/atom



(5)
A geometry-optimized Ac4PmTl5 structure, computed with PBE-GGA.

a b c (Å): 4.023 4.023 21.048
angles (deg): 90.00 90.00 90.00
Sites, in units of the cell vectors:
Tl 0.500 0.500 0.708
Tl 0.500 0.500 0.914
Tl 0.500 0.500 0.292
Tl 0.500 0.500 0.500
Ac 0.000 0.000 0.810
Ac 0.000 0.000 0.396
Ac 0.000 0.000 0.190
Pm 0.000 0.000 0.000
Ac 0.000 0.000 0.604
Tl 0.500 0.500 0.086

Properties
formation enthalpy at 0 K: -0.36 eV/atom



(6)
A geometry-optimized KHBrF structure, computed with PBE-GGA.

a b c (Å): 4.634 4.763 5.142
angles (deg): 100.92 90.00 119.11
Sites, in units of the cell vectors:
Br 0.511 0.023 0.398
K 0.896 0.792 0.788
H 0.315 0.630 0.114
F 0.232 0.464 0.939

Properties
uncorrected energy: -3.672 eV/atom



(7)
A geometry-optimized RbZnSi2H structure, computed with PBE-GGA.

a b c (Å): 4.347 4.969 4.347
angles (deg): 90.00 90.00 90.00
Sites, in units of the cell vectors:
Rb 0.000 0.500 0.000
Si 0.500 0.000 0.000
H 0.000 0.000 0.000
Zn 0.500 0.500 0.500
Si 0.000 0.000 0.500

Properties
uncorrected energy: -2.502 eV/atom



(8)
A geometry-optimized RbAc2Se4 structure, computed with PBE-GGA.

a b c (Å): 8.291 8.291 8.291
angles (deg): 110.49 107.44 110.49
Sites, in units of the cell vectors:
Ac 0.375 0.881 0.756
Rb 0.000 0.000 0.000
Se 0.592 0.746 0.021
Ac 0.506 0.381 0.625
Se 0.275 0.254 0.846
Ac 0.244 0.619 0.125
Se 0.979 0.571 0.725
Rb 0.750 0.500 0.250
Se 0.596 0.754 0.525
Ac 0.875 0.119 0.494
Se 0.771 0.246 0.842
Se 0.475 0.071 0.229
Se 0.154 0.429 0.408
Se 0.158 0.929 0.404

Properties
energy relative to the elements, uncorrected: -1.659 eV/atom